No. 1
{
  "formula": "Cu2AuS2",
  "functional": "PBE",
  "state": "optimized geometry",
  "formation_energy_uncorrected_kj_per_mol_atoms": 10.7,
  "e_tot_ev_per_atom": -3.834,
  "rho_g_cm3": 5.821,
  "crystal_system": "tetragonal",
  "spacegroup": "P-4m2 (115)",
  "lattice_angstrom": [[4.0786, 0.0000, 0.0000], [0.0000, 4.0786, 0.0000], [0.0000, 0.0000, 6.6564]],
  "species": ["Cu", "Cu", "Au", "S", "S"],
  "fractional_positions": [[0.5000, 0.5000, 0.6823], [0.5000, 0.5000, 0.3177], [0.0000, 0.0000, 0.0000], [0.5000, 0.0000, 0.2211], [0.0000, 0.5000, 0.7789]]
}

=====

No. 2
{
  "formula": "Tb6TlIr",
  "functional": "PBE",
  "state": "optimized geometry",
  "formation_energy_ev_per_fu": -1.0,
  "e_tot_ev_per_atom": -5.001,
  "rho_g_cm3": 8.390,
  "crystal_system": "triclinic",
  "spacegroup": "P-1 (2)",
  "lattice_angstrom": [[6.9665, 0.0110, -0.0236], [3.4774, 6.0863, -0.0048], [3.4425, 2.0207, 6.2988]],
  "species": ["Tb", "Tb", "Tb", "Tb", "Tb", "Tb", "Tl", "Ir"],
  "fractional_positions": [[0.0380, 0.4189, 0.7559], [0.7857, 0.0355, 0.7546], [0.5815, 0.2116, 0.2452], [0.2143, 0.9645, 0.2454], [0.9620, 0.5811, 0.2441], [0.4185, 0.7884, 0.7548], [0.5000, 0.5000, 0.5000], [0.0000, 0.0000, 0.0000]]
}

=====

Copy entry 1 word for word.
{
  "formula": "Cu2AuS2",
  "functional": "PBE",
  "state": "optimized geometry",
  "formation_energy_uncorrected_kj_per_mol_atoms": 10.7,
  "e_tot_ev_per_atom": -3.834,
  "rho_g_cm3": 5.821,
  "crystal_system": "tetragonal",
  "spacegroup": "P-4m2 (115)",
  "lattice_angstrom": [[4.0786, 0.0000, 0.0000], [0.0000, 4.0786, 0.0000], [0.0000, 0.0000, 6.6564]],
  "species": ["Cu", "Cu", "Au", "S", "S"],
  "fractional_positions": [[0.5000, 0.5000, 0.6823], [0.5000, 0.5000, 0.3177], [0.0000, 0.0000, 0.0000], [0.5000, 0.0000, 0.2211], [0.0000, 0.5000, 0.7789]]
}